1.
Computed, not measured: a relaxed NdInFe crystal at the GGA-PBE level of DFT.

Summary:
VASP energy = -5.094 eV/atom

abc: 6.6677 6.6677 6.6677
angles: 90.00 90.00 90.00
With the nearest neighbours (Å) after each atom.
Space group F-43m (No. 216)
Symmetry-distinct sites (fractional):
Nd (0.0000, 0.0000, 0.0000)  4 Fe 2.89
In (0.0000, 0.0000, 0.5000)  4 Fe 2.89
Fe (0.2500, 0.2500, 0.7500)  4 In 2.89, 4 Nd 2.89


2.
Computed, not measured: a relaxed PrNdInFe2 crystal at the GGA-PBE level of DFT.

Summary:
VASP energy = -5.876 eV/atom

abc: 4.0312 3.9208 14.3461
angles: 90.00 90.00 90.00
With the nearest neighbours (Å) after each atom.
Space group Amm2 (No. 38)
Symmetry-distinct sites (fractional):
Pr (0.0000, 0.0000, 0.0000)  6 Fe 3.00-3.05
Nd (0.0000, 0.0000, 0.2698)  6 Fe 2.99-3.03
In (0.5000, 0.0000, 0.6356)  2 Fe 2.93-2.98
Fe (0.5000, 0.0000, 0.4279)  2 Fe 2.33
Fe (0.5000, 0.0000, 0.8400)  2 Fe 2.33


3.
Computed, not measured: a relaxed NdInFeS3 crystal at the GGA-PBE level of DFT.

Summary:
VASP energy = -5.655 eV/atom

abc: 4.0280 14.1206 10.7787
angles: 90.00 90.00 90.00
With the nearest neighbours (Å) after each atom.
Space group Cmcm (No. 63)
Symmetry-distinct sites (fractional):
Nd (0.0000, 0.0000, 0.0000)  6 S 2.83-2.84
In (0.0000, 0.2472, 0.2500)  6 S 3.20-3.36
Fe (0.0000, 0.4735, 0.7500)  4 S 2.29-2.38
S (0.0000, 0.0626, 0.7500)  2 Fe 2.38
S (0.0000, 0.3737, 0.5821)  1 Fe 2.29


4.
Computed, not measured: a relaxed NdSmInFe2 crystal at the GGA-PBE level of DFT.

Summary:
VASP energy = -5.898 eV/atom

abc: 4.1515 3.8283 13.9298
angles: 90.00 90.00 90.00
With the nearest neighbours (Å) after each atom.
Space group Amm2 (No. 38)
Symmetry-distinct sites (fractional):
Nd (0.0000, 0.0000, 0.0000)  6 Fe 3.00-3.01
Sm (0.0000, 0.0000, 0.2719)  6 Fe 2.97-3.00
In (0.5000, 0.0000, 0.6372)  2 Fe 2.89-2.96
Fe (0.5000, 0.0000, 0.4247)  2 Fe 2.22
Fe (0.5000, 0.0000, 0.8443)  2 Fe 2.22


5.
Computed, not measured: a relaxed InFeTcNi crystal at the GGA-PBE level of DFT.

Summary:
distance to the lowest polymorph of the same formula = 0.0000 eV/atom

abc: 6.1016 6.1016 6.1016
angles: 90.00 90.00 90.00
With the nearest neighbours (Å) after each atom.
Space group F-43m (No. 216)
Symmetry-distinct sites (fractional):
In (0.0000, 0.0000, 0.0000)  4 Fe 2.64, 4 Ni 2.64
Fe (0.2500, 0.2500, 0.2500)  4 In 2.64, 4 Tc 2.64
Tc (0.0000, 0.0000, 0.5000)  4 Fe 2.64, 4 Ni 2.64
Ni (0.2500, 0.2500, 0.7500)  4 In 2.64, 4 Tc 2.64


6.
Computed, not measured: a relaxed TmInFeNi crystal at the GGA-PBE level of DFT.

Summary:
distance to the lowest polymorph of the same formula = 0.0000 eV/atom

abc: 4.9397 4.0154 7.1722
angles: 90.00 90.00 90.00
With the nearest neighbours (Å) after each atom.
Space group Pmma (No. 51)
Symmetry-distinct sites (fractional):
Tm (0.2500, 0.0000, 0.2218)  3 Ni 2.76
In (0.2500, 0.5000, 0.8589)  2 Ni 2.70, 2 Fe 2.86
Fe (0.0000, 0.5000, 0.5000)  2 Fe 2.47, 4 Ni 2.48
Ni (0.2500, 0.0000, 0.6062)  4 Fe 2.48, 2 In 2.70, 3 Tm 2.76


7.
Computed, not measured: a relaxed TmInFeNi crystal at the GGA-PBE level of DFT.

Summary:
distance to the lowest polymorph of the same formula = 0.0940 eV/atom

abc: 4.9878 4.0343 7.0969
angles: 90.00 90.00 90.00
With the nearest neighbours (Å) after each atom.
Space group Pmma (No. 51)
Symmetry-distinct sites (fractional):
Tm (0.2500, 0.0000, 0.2142)  3 Fe 2.65-2.87
In (0.2500, 0.5000, 0.8521)  2 Fe 2.76, 2 Ni 2.79
Fe (0.2500, 0.0000, 0.5869)  4 Ni 2.45, 1 Tm 2.65
Ni (0.0000, 0.5000, 0.5000)  4 Fe 2.45, 2 Ni 2.49


8.
Computed, not measured: a relaxed YInFeNi crystal at the GGA-PBE level of DFT.

Summary:
distance to the lowest polymorph of the same formula = 0.2000 eV/atom

abc: 6.5619 6.5619 6.5619
angles: 90.00 90.00 90.00
With the nearest neighbours (Å) after each atom.
Space group F-43m (No. 216)
Symmetry-distinct sites (fractional):
Y (0.0000, 0.0000, 0.0000)  4 In 2.84, 4 Ni 2.84
In (0.2500, 0.2500, 0.2500)  4 Fe 2.84, 4 Y 2.84
Fe (0.0000, 0.0000, 0.5000)  4 In 2.84, 4 Ni 2.84
Ni (0.2500, 0.2500, 0.7500)  4 Fe 2.84, 4 Y 2.84


9.
Computed, not measured: a relaxed YInFeNi crystal at the GGA-PBE level of DFT.

Summary:
distance to the lowest polymorph of the same formula = 0.0000 eV/atom

abc: 6.5343 6.5343 6.5343
angles: 90.00 90.00 90.00
With the nearest neighbours (Å) after each atom.
Space group F-43m (No. 216)
Symmetry-distinct sites (fractional):
Y (0.0000, 0.0000, 0.0000)  4 Ni 2.83, 4 Fe 2.83
In (0.0000, 0.0000, 0.5000)  4 Fe 2.83, 4 Ni 2.83
Fe (0.2500, 0.2500, 0.7500)  4 In 2.83, 4 Y 2.83
Ni (0.2500, 0.2500, 0.2500)  4 In 2.83, 4 Y 2.83


10.
Computed, not measured: a relaxed ZnInFeNi crystal at the GGA-PBE level of DFT.

Summary:
distance to the lowest polymorph of the same formula = 0.0559 eV/atom

abc: 6.0514 6.0514 6.0514
angles: 90.00 90.00 90.00
With the nearest neighbours (Å) after each atom.
Space group F-43m (No. 216)
Symmetry-distinct sites (fractional):
Zn (0.0000, 0.0000, 0.0000)  4 In 2.62, 4 Fe 2.62
In (0.2500, 0.2500, 0.7500)  4 Ni 2.62, 4 Zn 2.62
Fe (0.2500, 0.2500, 0.2500)  4 Ni 2.62, 4 Zn 2.62
Ni (0.0000, 0.0000, 0.5000)  4 In 2.62, 4 Fe 2.62


11.
Computed, not measured: a relaxed ZnInFeNi crystal at the GGA-PBE level of DFT.

Summary:
distance to the lowest polymorph of the same formula = 0.0000 eV/atom

abc: 6.0277 6.0277 6.0277
angles: 90.00 90.00 90.00
With the nearest neighbours (Å) after each atom.
Space group F-43m (No. 216)
Symmetry-distinct sites (fractional):
Zn (0.0000, 0.0000, 0.0000)  4 Fe 2.61, 4 Ni 2.61
In (0.0000, 0.0000, 0.5000)  4 Fe 2.61, 4 Ni 2.61
Fe (0.2500, 0.2500, 0.7500)  4 In 2.61, 4 Zn 2.61
Ni (0.2500, 0.2500, 0.2500)  4 In 2.61, 4 Zn 2.61


12.
Computed, not measured: a relaxed ZrInFeNi crystal at the GGA-PBE level of DFT.

Summary:
distance to the lowest polymorph of the same formula = 0.0000 eV/atom

abc: 6.3438 6.3438 6.3438
angles: 90.00 90.00 90.00
With the nearest neighbours (Å) after each atom.
Space group F-43m (No. 216)
Symmetry-distinct sites (fractional):
Zr (0.0000, 0.0000, 0.0000)  4 Fe 2.75, 4 Ni 2.75
In (0.0000, 0.0000, 0.5000)  4 Ni 2.75, 4 Fe 2.75
Fe (0.2500, 0.2500, 0.7500)  4 Zr 2.75, 4 In 2.75
Ni (0.2500, 0.2500, 0.2500)  4 Zr 2.75, 4 In 2.75


13.
Computed, not measured: a relaxed ZrInFeNi crystal at the GGA-PBE level of DFT.

Summary:
distance to the lowest polymorph of the same formula = 0.2891 eV/atom

abc: 6.3987 6.3987 6.3987
angles: 90.00 90.00 90.00
With the nearest neighbours (Å) after each atom.
Space group F-43m (No. 216)
Symmetry-distinct sites (fractional):
Zr (0.0000, 0.0000, 0.0000)  4 In 2.77, 4 Ni 2.77
In (0.2500, 0.2500, 0.2500)  4 Zr 2.77, 4 Fe 2.77
Fe (0.0000, 0.0000, 0.5000)  4 In 2.77, 4 Ni 2.77
Ni (0.2500, 0.2500, 0.7500)  4 Zr 2.77, 4 Fe 2.77


14.
Computed, not measured: a relaxed NpInFe crystal at the GGA-PBE level of DFT.

Summary:
VASP energy = -6.951 eV/atom

abc: 6.4915 6.4915 6.4915
angles: 90.00 90.00 90.00
With the nearest neighbours (Å) after each atom.
Space group F-43m (No. 216)
Symmetry-distinct sites (fractional):
Np (0.0000, 0.0000, 0.0000)  4 In 2.81
In (0.2500, 0.2500, 0.7500)  4 Fe 2.81, 4 Np 2.81
Fe (0.0000, 0.0000, 0.5000)  4 In 2.81


15.
Computed, not measured: a relaxed InFeOsPd crystal at the GGA-PBE level of DFT.

Summary:
distance to the lowest polymorph of the same formula = 0.0000 eV/atom

abc: 6.2927 6.2927 6.2927
angles: 90.00 90.00 90.00
With the nearest neighbours (Å) after each atom.
Space group F-43m (No. 216)
Symmetry-distinct sites (fractional):
In (0.0000, 0.0000, 0.0000)  4 Fe 2.72, 4 Pd 2.72
Fe (0.2500, 0.2500, 0.2500)  4 In 2.72, 4 Os 2.72
Os (0.0000, 0.0000, 0.5000)  4 Fe 2.72, 4 Pd 2.72
Pd (0.2500, 0.2500, 0.7500)  4 In 2.72, 4 Os 2.72


| no. | spin magnetization (μB per cell) |
| --- | --- |
| 1 | 6.982 |
| 2 | 6.022 |
| 3 | 15.988 |
| 4 | 3.417 |
| 5 | 14.534 |
| 6 | 5.170 |
| 7 | 4.967 |
| 8 | 12.032 |
| 9 | 8.719 |
| 10 | 11.668 |
| 11 | 7.999 |
| 12 | 4.464 |
| 13 | 10.801 |
| 14 | 8.223 |
| 15 | 14.445 |